A relaxed structure of CePm2PuS4, computed with GGA-PBE.

a = 4.0008 Å, b = 6.9524 Å, c = 6.9674 Å
α = 109.33°, β = 90.00°, γ = 90.00°
Fractional coordinates of all 8 atoms:
Pu: 0.0000 0.0000 0.0000
Ce: 0.5000 0.5000 0.0000
S: 0.5000 0.7544 0.7551
S: 0.5000 0.2456 0.2449
S: 0.0000 0.7519 0.2475
S: 0.0000 0.2481 0.7525
Pm: 0.0000 0.5000 0.5000
Pm: 0.5000 0.0000 0.5000

Calculated values
- Fermi-level density of states: 12.16 states/eV per cell
- SG: P2/m (10)
- Crystal system: monoclinic
- Energy relative to the elements, uncorrected: -191 kJ/mol of atoms